Record 1
Compound: NdPaTiN3
Source: Alexandria via LeMat-Bulk
Functional: PBE
Structure: optimized geometry

* raw formation energy: -1.301 eV per atom

Cell lengths 3.589, 7.076, 8.826 Å; angles 102.24, 90.00, 90.00 degrees
Element x y z (fractional)
Pa1 0.750 0.337 0.849
Ti1 0.750 0.942 0.387
N1 0.250 0.107 0.854
Nd1 0.250 0.165 0.139
N2 0.750 0.893 0.146
N3 0.250 0.562 0.883
Nd2 0.750 0.835 0.861
Pa2 0.250 0.663 0.151
N4 0.250 0.843 0.419
Ti2 0.250 0.058 0.613
N5 0.750 0.438 0.117
N6 0.750 0.157 0.581

Record 2
Compound: CsCa2Ge2
Source: Alexandria via LeMat-Bulk
Functional: PBE
Structure: optimized geometry

* E above lowest polymorph: 214 meV per atom
* energy relative to the elements: -6 kJ per mole of atoms

Cell lengths 5.524, 5.524, 7.585 Å; angles 68.65, 68.65, 90.00 degrees
Element x y z (fractional)
Cs1 0.000 0.000 0.000
Ge1 0.250 0.750 0.500
Ca1 0.673 0.673 0.654
Ge2 0.750 0.250 0.500
Ca2 0.327 0.327 0.346

Record 3
Compound: PaTe2Rh9
Source: Alexandria via LeMat-Bulk
Functional: PBE
Structure: optimized geometry

* raw formation energy: -0.328 eV per atom

Cell lengths 4.001, 4.001, 12.068 Å; angles 90.00, 90.00, 90.00 degrees
Element x y z (fractional)
Te1 0.000 0.000 0.666
Pa1 0.000 0.000 0.000
Rh1 0.500 0.500 0.000
Rh2 0.000 0.500 0.831
Rh3 0.500 0.000 0.169
Rh4 0.500 0.500 0.662
Rh5 0.500 0.500 0.338
Te2 0.000 0.000 0.334
Rh6 0.000 0.500 0.169
Rh7 0.000 0.500 0.500
Rh8 0.500 0.000 0.500
Rh9 0.500 0.000 0.831

Record 4
Compound: Er7Cu2Te2
Source: Alexandria via LeMat-Bulk
Functional: PBE
Structure: optimized geometry

* E above lowest polymorph: 75 meV per atom
* raw formation energy: -0.499 eV per atom

Cell lengths 3.940, 9.089, 9.089 Å; angles 66.90, 77.48, 77.48 degrees
Element x y z (fractional)
Er1 0.882 0.399 0.838
Te1 0.278 0.316 0.128
Er2 0.182 0.688 0.947
Cu1 0.500 0.380 0.620
Er3 0.500 0.004 0.996
Cu2 0.000 0.759 0.241
Te2 0.722 0.872 0.684
Er4 0.387 0.723 0.503
Er5 0.613 0.497 0.277
Er6 0.818 0.053 0.312
Er7 0.118 0.162 0.601

Number 1: Fermi-level density of states 0.468 states/eV per atom, ρ 7.1 g cm⁻³, V 219 Å³/cell. Number 2: Fermi-level density of states 0.877 states/eV per atom, ρ 3.0 g cm⁻³, V 198 Å³/cell. Number 3: Fermi-level density of states 0.624 states/eV per atom, ρ 12.1 g cm⁻³, V 193 Å³/cell. Number 4: Fermi-level density of states 0.768 states/eV per atom, ρ 8.9 g cm⁻³, V 289 Å³/cell.